# Rb3Cr5F12 | Alexandria | PBE with a Hubbard U | optimized geometry
data_Rb3Cr5F12
_chemical_formula_sum 'Rb24 Cr40 F96'
_symmetry_space_group_name_H-M 'I a -3 d'
_symmetry_Int_Tables_number 230
_symmetry_space_group_name_Hall '-I 4bd 2c 3'
_cell_length_a 14.091
_cell_length_b 14.091
_cell_length_c 14.091
_cell_angle_alpha 90.00
_cell_angle_beta 90.00
_cell_angle_gamma 90.00
loop_
_atom_site_label
_atom_site_type_symbol
_atom_site_fract_x
_atom_site_fract_y
_atom_site_fract_z
Rb1 Rb 0.000 0.250 0.125
Cr1 Cr 0.000 0.000 0.000
Cr2 Cr 0.000 0.250 0.375
F1 F 0.031 0.042 0.633
# Magnetic moment   168.00 μB per cell
# Uncorrected energy   -884.03 eV/cell